Here is crystalline Tm4GaSi4Ni2 at its relaxed geometry from OQMD via LeMat-Bulk. Energies are from GGA-PBE.

Computed properties:
- Electronic total energy: -0.20917 Ha/atom
- Space group: C2/m (12)
- Crystal system: monoclinic

```
Tm4GaSi4Ni2
1.0
7.439 -2.068 0.000
7.439 2.068 0.000
-2.123 0.000 6.423
Tm Ga Si Ni
4 1 4 2
Direct
0.087 0.087 0.382
0.153 0.153 0.940
0.847 0.847 0.060
0.913 0.913 0.618
0.500 0.500 0.000
0.295 0.295 0.727
0.436 0.436 0.340
0.564 0.564 0.660
0.705 0.705 0.273
0.283 0.283 0.360
0.717 0.717 0.640
```

---

Here is crystalline Sm3GaNi3 at its relaxed geometry from OQMD via LeMat-Bulk. Energies are from GGA-PBE.

Computed properties:
- Electronic total energy: -0.19520 Ha/atom
- Space group: Cmcm (63)
- Crystal system: orthorhombic

```
Sm3GaNi3
1.0
2.073 -5.058 0.000
2.073 5.058 0.000
0.000 0.000 13.286
Sm Ga Ni
6 2 6
Direct
0.004 0.996 0.750
0.287 0.713 0.603
0.287 0.713 0.897
0.713 0.287 0.103
0.713 0.287 0.397
0.996 0.004 0.250
0.000 0.000 0.000
0.000 0.000 0.500
0.294 0.706 0.250
0.424 0.576 0.090
0.424 0.576 0.410
0.576 0.424 0.590
0.576 0.424 0.910
0.706 0.294 0.750
```

---

Here is crystalline Sm6GaNi2 at its relaxed geometry from OQMD via LeMat-Bulk. Energies are from GGA-PBE.

Computed properties:
- Electronic total energy: -0.18445 Ha/atom
- Space group: Immm (71)
- Crystal system: orthorhombic

```
Sm6GaNi2
1.0
-4.673 4.946 5.105
4.673 -4.946 5.105
4.673 4.946 -5.105
Sm Ga Ni
12 2 4
Direct
0.046 0.238 0.808
0.179 0.284 0.464
0.179 0.716 0.895
0.326 0.016 0.690
0.326 0.637 0.310
0.430 0.238 0.192
0.570 0.762 0.808
0.674 0.363 0.690
0.674 0.984 0.310
0.821 0.284 0.105
0.821 0.716 0.536
0.954 0.762 0.192
0.000 0.000 0.000
0.500 0.500 0.000
0.120 0.620 0.500
0.343 0.000 0.343
0.657 0.000 0.657
0.880 0.380 0.500
```

---

Here is crystalline Sm2GaNi at its relaxed geometry from OQMD via LeMat-Bulk. Energies are from GGA-PBE.

Computed properties:
- Electronic total energy: -0.18194 Ha/atom
- Space group: Amm2 (38)
- Crystal system: orthorhombic

```
Sm2GaNi
1.0
4.365 0.000 0.000
0.000 3.846 0.000
0.000 0.000 11.136
Sm Ga Ni
4 2 2
Direct
0.000 0.000 0.000
0.000 0.500 0.500
0.500 0.000 0.283
0.500 0.500 0.783
0.000 0.000 0.710
0.000 0.500 0.210
0.500 0.000 0.577
0.500 0.500 0.077
```

---

Here is crystalline Sm3Ga10Ni at its relaxed geometry from OQMD via LeMat-Bulk. Energies are from GGA-PBE.

Computed properties:
- Electronic total energy: -0.15135 Ha/atom
- Space group: Pmmm (47)
- Crystal system: orthorhombic

```
Sm3Ga10Ni
1.0
4.234 0.000 0.000
0.000 4.275 0.000
0.000 0.000 15.294
Sm Ga Ni
3 10 1
Direct
0.000 0.000 0.000
0.000 0.500 0.253
0.000 0.500 0.747
0.000 0.000 0.416
0.000 0.000 0.584
0.500 0.000 0.158
0.500 0.000 0.317
0.500 0.000 0.683
0.500 0.000 0.842
0.500 0.500 0.081
0.500 0.500 0.415
0.500 0.500 0.585
0.500 0.500 0.919
0.000 0.500 0.500
```

---

Here is crystalline SmGa2Ni2 at its relaxed geometry from OQMD via LeMat-Bulk. Energies are from GGA-PBE.

Computed properties:
- Electronic total energy: -0.18118 Ha/atom
- Space group: I4/mmm (139)
- Crystal system: tetragonal

```
SmGa2Ni2
1.0
4.108 0.000 0.000
0.000 4.108 0.000
0.000 0.000 9.995
Sm Ga Ni
2 4 4
Direct
0.000 0.000 0.000
0.500 0.500 0.500
0.000 0.000 0.370
0.000 0.000 0.630
0.500 0.500 0.130
0.500 0.500 0.870
0.000 0.500 0.250
0.000 0.500 0.750
0.500 0.000 0.250
0.500 0.000 0.750
```

---

Here is crystalline SmGa3Ni at its relaxed geometry from OQMD via LeMat-Bulk. Energies are from GGA-PBE.

Computed properties:
- Electronic total energy: -0.16474 Ha/atom
- Space group: I4mm (107)
- Crystal system: tetragonal

```
SmGa3Ni
1.0
4.220 0.000 0.000
0.000 4.220 0.000
0.000 0.000 10.221
Sm Ga Ni
2 6 2
Direct
0.000 0.000 0.000
0.500 0.500 0.500
0.000 0.000 0.413
0.000 0.500 0.248
0.000 0.500 0.748
0.500 0.000 0.248
0.500 0.000 0.748
0.500 0.500 0.913
0.000 0.000 0.640
0.500 0.500 0.140
```

---

Here is crystalline Sm6GaNi2 at its relaxed geometry from OQMD via LeMat-Bulk. Energies are from GGA-PBE.

Computed properties:
- Electronic total energy: -0.18445 Ha/atom
- Space group: Immm (71)
- Crystal system: orthorhombic

```
Sm6GaNi2
1.0
-4.664 4.933 5.099
4.664 -4.933 5.099
4.664 4.933 -5.099
Sm Ga Ni
12 2 4
Direct
0.045 0.237 0.808
0.179 0.286 0.465
0.179 0.714 0.894
0.327 0.017 0.690
0.327 0.637 0.310
0.429 0.237 0.192
0.571 0.763 0.808
0.673 0.363 0.690
0.673 0.983 0.310
0.821 0.286 0.106
0.821 0.714 0.535
0.955 0.763 0.192
0.000 0.000 0.000
0.500 0.500 0.000
0.121 0.621 0.500
0.345 0.000 0.345
0.655 0.000 0.655
0.879 0.379 0.500
```

---

Question: Look up the electronic total energy of the eighth one.
Answer: -0.18445 Ha/atom

---

Question: Which value of electronic total energy does entry 2 give?
Answer: -0.19520 Ha/atom

---

Question: Look up the electronic total energy of the seventh one.
Answer: -0.16474 Ha/atom

---

Question: What is the formula in the third record?
Answer: Sm6GaNi2